Crystalline LiAcZnSi at its relaxed geometry. Source: Alexandria via LeMat-Bulk, functional GGA-PBE.

Output
V   24.0 A^3/atom
Energy relative to the elements, uncorrected   -229 meV/atom
N(E_F)   0.40 states/eV per atom
Total magnetic moment   0.000 μB/cell
Electronic total energy   -54.5 eV/cell

Geometry as CIF:
```
data_LiAcZnSi
_cell_length_a 7.264
_cell_length_b 7.264
_cell_length_c 7.264
_cell_angle_alpha 90.00
_cell_angle_beta 90.00
_cell_angle_gamma 90.00
_symmetry_space_group_name_H-M 'F -4 3 m'
_symmetry_Int_Tables_number 216
_symmetry_space_group_name_Hall 'F -4 2 3'
loop_
_atom_site_label
_atom_site_fract_x
_atom_site_fract_y
_atom_site_fract_z
_atom_site_occupancy
Li1 0.000 0.000 0.000 1
Ac1 0.000 0.000 0.500 1
Zn1 0.250 0.250 0.250 1
Si1 0.250 0.250 0.750 1
```